# 1
The following is a PBE calculation of PrTlPt after structural relaxation, from Alexandria.

Summary:
Energy of formation from the pure elements, eV/atom: -0.658
DOS(E_F), states/eV/atom: 1.36
Total energy, eV per atom: -5.05

abc: 4.8858 4.8858 4.8858
angles: 60.00 60.00 60.00
Last column: nearest neighbours and their distance in Å.
Fractional coordinates of all 3 atoms:
Pr (0.5000, 0.5000, 0.5000)  4 Pt 2.99
Tl (0.0000, 0.0000, 0.0000)  4 Pt 2.99
Pt (0.2500, 0.2500, 0.2500)  4 Tl 2.99, 4 Pr 2.99


# 2
The following is a PBE calculation of Pr2TlPt after structural relaxation, from Alexandria.

Summary:
Energy of formation from the pure elements, eV/atom: -0.631
DOS(E_F), states/eV/atom: 1.10
Total energy, eV per atom: -5.12

abc: 4.1860 4.1860 8.6344
angles: 75.97 75.97 60.00
Last column: nearest neighbours and their distance in Å.
Fractional coordinates of all 4 atoms:
Pr (0.0666, 0.0666, 0.8001)  3 Pt 2.94
Pr (0.2669, 0.2669, 0.1994)  3 Pt 2.92
Tl (0.5005, 0.5005, 0.4986)  6 Pr 3.46-3.48
Pt (0.6660, 0.6660, 0.0020)  6 Pr 2.92-2.94


# 3
The following is a PBE calculation of Pr12Tl5Pt3 after structural relaxation, from Alexandria.

Summary:
Energy of formation from the pure elements, eV/atom: -0.027
DOS(E_F), states/eV/atom: 1.33
Total energy, eV per atom: -4.39

abc: 15.5713 15.5713 15.5713
angles: 109.47 109.47 109.47
Last column: nearest neighbours and their distance in Å.
Fractional coordinates of all 80 atoms:
Pt (0.7500, 0.3750, 0.1250)  4 Pr 2.98
Pt (0.8750, 0.7500, 0.1250)  4 Pr 2.98
Pt (0.3750, 0.7500, 0.6250)  4 Pr 2.98
Pt (0.2500, 0.1250, 0.3750)  4 Pr 2.98
Pt (0.8750, 0.1250, 0.2500)  4 Pr 2.98
Pt (0.3750, 0.6250, 0.2500)  4 Pr 2.98
Pt (0.6250, 0.3750, 0.7500)  4 Pr 2.98
Pt (0.1250, 0.8750, 0.7500)  4 Pr 2.98
Pt (0.7500, 0.8750, 0.6250)  4 Pr 2.98
Pt (0.6250, 0.2500, 0.3750)  4 Pr 2.98
Pt (0.1250, 0.2500, 0.8750)  4 Pr 2.98
Pt (0.2500, 0.6250, 0.8750)  4 Pr 2.98
Tl (0.1250, 0.3750, 0.2500)  4 Pr 3.09
Tl (0.0000, 0.5000, 0.0000)  6 Pr 3.12
Tl (0.0000, 0.0000, 0.0000)  6 Pr 3.12
Tl (0.3750, 0.2500, 0.1250)  4 Pr 3.09
Tl (0.5000, 0.0000, 0.5000)  6 Pr 3.12
Tl (0.5000, 0.5000, 0.0000)  6 Pr 3.12
Tl (0.1250, 0.7500, 0.3750)  4 Pr 3.09
Tl (0.7500, 0.1250, 0.8750)  4 Pr 3.09
Tl (0.7500, 0.6250, 0.3750)  4 Pr 3.09
Tl (0.3750, 0.1250, 0.7500)  4 Pr 3.09
Tl (0.6250, 0.8750, 0.2500)  4 Pr 3.09
Tl (0.5000, 0.5000, 0.5000)  6 Pr 3.12
Tl (0.5000, 0.0000, 0.0000)  6 Pr 3.12
Tl (0.0000, 0.0000, 0.5000)  6 Pr 3.12
Tl (0.2500, 0.3750, 0.6250)  4 Pr 3.09
Tl (0.2500, 0.8750, 0.1250)  4 Pr 3.09
Tl (0.0000, 0.5000, 0.5000)  6 Pr 3.12
Tl (0.8750, 0.2500, 0.6250)  4 Pr 3.09
Tl (0.6250, 0.7500, 0.8750)  4 Pr 3.09
Tl (0.8750, 0.6250, 0.7500)  4 Pr 3.09
Pr (0.7359, 0.1330, 0.0703)  1 Pt 2.98, 2 Tl 3.09-3.12, 1 Pr 3.28
Pr (0.3344, 0.5703, 0.4373)  1 Pt 2.98, 2 Tl 3.09-3.12, 1 Pr 3.28
Pr (0.9297, 0.3670, 0.2641)  1 Pt 2.98, 2 Tl 3.09-3.12, 1 Pr 3.28
Pr (0.5703, 0.2359, 0.1330)  1 Pt 2.98, 2 Tl 3.09-3.12, 1 Pr 3.28
Pr (0.6029, 0.7359, 0.6656)  1 Pt 2.98, 2 Tl 3.09-3.12, 1 Pr 3.28
Pr (0.9297, 0.5627, 0.1656)  1 Pt 2.98, 2 Tl 3.09-3.12, 1 Pr 3.28
Pr (0.3344, 0.7641, 0.3971)  1 Pt 2.98, 2 Tl 3.09-3.12, 1 Pr 3.28
Pr (0.0627, 0.8971, 0.1330)  1 Pt 2.98, 2 Tl 3.09-3.12, 1 Pr 3.28
Pr (0.5627, 0.9297, 0.6656)  1 Pt 2.98, 2 Tl 3.09-3.12, 1 Pr 3.28
Pr (0.7359, 0.6029, 0.1656)  1 Pt 2.98, 2 Tl 3.09-3.12, 1 Pr 3.28
Pr (0.7641, 0.4297, 0.3670)  1 Pt 2.98, 2 Tl 3.09-3.12, 1 Pr 3.28
Pr (0.8344, 0.9373, 0.0703)  1 Pt 2.98, 2 Tl 3.09-3.12, 1 Pr 3.28
Pr (0.1330, 0.7359, 0.5703)  1 Pt 2.98, 2 Tl 3.09-3.12, 1 Pr 3.28
Pr (0.3670, 0.4373, 0.1029)  1 Pt 2.98, 2 Tl 3.09-3.12, 1 Pr 3.28
Pr (0.1029, 0.9373, 0.3670)  1 Pt 2.98, 2 Tl 3.09-3.12, 1 Pr 3.28
Pr (0.3971, 0.1330, 0.5627)  1 Pt 2.98, 2 Tl 3.09-3.12, 1 Pr 3.28
Pr (0.1029, 0.1656, 0.2359)  1 Pt 2.98, 2 Tl 3.09-3.12, 1 Pr 3.28
Pr (0.4297, 0.6656, 0.0627)  1 Pt 2.98, 2 Tl 3.09-3.12, 1 Pr 3.28
Pr (0.8344, 0.8971, 0.2641)  1 Pt 2.98, 2 Tl 3.09-3.12, 1 Pr 3.28
Pr (0.1330, 0.3971, 0.0627)  1 Pt 2.98, 2 Tl 3.09-3.12, 1 Pr 3.28
Pr (0.3670, 0.9297, 0.7641)  1 Pt 2.98, 2 Tl 3.09-3.12, 1 Pr 3.28
Pr (0.5627, 0.6330, 0.3971)  1 Pt 2.98, 2 Tl 3.09-3.12, 1 Pr 3.28
Pr (0.9373, 0.8344, 0.5703)  1 Pt 2.98, 2 Tl 3.09-3.12, 1 Pr 3.28
Pr (0.7641, 0.3344, 0.8971)  1 Pt 2.98, 2 Tl 3.09-3.12, 1 Pr 3.28
Pr (0.4373, 0.3670, 0.6029)  1 Pt 2.98, 2 Tl 3.09-3.12, 1 Pr 3.28
Pr (0.0627, 0.1656, 0.4297)  1 Pt 2.98, 2 Tl 3.09-3.12, 1 Pr 3.28
Pr (0.2359, 0.6656, 0.1029)  1 Pt 2.98, 2 Tl 3.09-3.12, 1 Pr 3.28
Pr (0.1656, 0.1029, 0.7359)  1 Pt 2.98, 2 Tl 3.09-3.12, 1 Pr 3.28
Pr (0.6330, 0.0703, 0.2359)  1 Pt 2.98, 2 Tl 3.09-3.12, 1 Pr 3.28
Pr (0.8670, 0.6029, 0.9373)  1 Pt 2.98, 2 Tl 3.09-3.12, 1 Pr 3.28
Pr (0.5703, 0.3344, 0.9373)  1 Pt 2.98, 2 Tl 3.09-3.12, 1 Pr 3.28
Pr (0.6029, 0.8670, 0.4373)  1 Pt 2.98, 2 Tl 3.09-3.12, 1 Pr 3.28
Pr (0.8971, 0.8344, 0.7641)  1 Pt 2.98, 2 Tl 3.09-3.12, 1 Pr 3.28
Pr (0.8971, 0.0627, 0.6330)  1 Pt 2.98, 2 Tl 3.09-3.12, 1 Pr 3.28
Pr (0.8670, 0.2641, 0.4297)  1 Pt 2.98, 2 Tl 3.09-3.12, 1 Pr 3.28
Pr (0.1656, 0.0627, 0.9297)  1 Pt 2.98, 2 Tl 3.09-3.12, 1 Pr 3.28
Pr (0.6330, 0.5627, 0.8971)  1 Pt 2.98, 2 Tl 3.09-3.12, 1 Pr 3.28
Pr (0.4373, 0.0703, 0.3344)  1 Pt 2.98, 2 Tl 3.09-3.12, 1 Pr 3.28
Pr (0.2641, 0.3971, 0.8344)  1 Pt 2.98, 2 Tl 3.09-3.12, 1 Pr 3.28
Pr (0.2359, 0.5703, 0.6330)  1 Pt 2.98, 2 Tl 3.09-3.12, 1 Pr 3.28
Pr (0.9373, 0.1029, 0.8670)  1 Pt 2.98, 2 Tl 3.09-3.12, 1 Pr 3.28
Pr (0.6656, 0.2359, 0.6029)  1 Pt 2.98, 2 Tl 3.09-3.12, 1 Pr 3.28
Pr (0.4297, 0.7641, 0.8670)  1 Pt 2.98, 2 Tl 3.09-3.12, 1 Pr 3.28
Pr (0.0703, 0.4373, 0.8344)  1 Pt 2.98, 2 Tl 3.09-3.12, 1 Pr 3.28
Pr (0.3971, 0.2641, 0.3344)  1 Pt 2.98, 2 Tl 3.09-3.12, 1 Pr 3.28
Pr (0.0703, 0.6330, 0.7359)  1 Pt 2.98, 2 Tl 3.09-3.12, 1 Pr 3.28
Pr (0.6656, 0.4297, 0.5627)  1 Pt 2.98, 2 Tl 3.09-3.12, 1 Pr 3.28
Pr (0.2641, 0.8670, 0.9297)  1 Pt 2.98, 2 Tl 3.09-3.12, 1 Pr 3.28


# 4
The following is a PBE calculation of Pr2TlPt after structural relaxation, from Alexandria.

Summary:
Energy of formation from the pure elements, eV/atom: -0.697
DOS(E_F), states/eV/atom: 0.68
Total energy, eV per atom: -5.19

abc: 3.6964 3.6964 7.9776
angles: 90.00 90.00 90.00
Last column: nearest neighbours and their distance in Å.
Fractional coordinates of all 4 atoms:
Pr (0.0000, 0.0000, 0.7813)  4 Pt 3.14, 4 Tl 3.45, 1 Pr 3.49
Pr (0.0000, 0.0000, 0.2187)  4 Pt 3.14, 4 Tl 3.45, 1 Pr 3.49
Tl (0.5000, 0.5000, 0.5000)  8 Pr 3.45, 4 Tl 3.70
Pt (0.5000, 0.5000, 0.0000)  8 Pr 3.14


# 5
The following is a PBE calculation of Pr12Tl5Pt2 after structural relaxation, from Alexandria.

Summary:
Energy of formation from the pure elements, eV/atom: -0.260
DOS(E_F), states/eV/atom: 1.18
Total energy, eV per atom: -4.54

abc: 7.9686 9.7157 9.9103
angles: 102.63 90.00 114.21
Last column: nearest neighbours and their distance in Å.
Fractional coordinates of all 19 atoms:
Pr (0.9799, 0.9599, 0.1695)  2 Pt 3.04, 1 Tl 3.21
Pr (0.0910, 0.6740, 0.9036)  1 Pt 2.85
Pr (0.5830, 0.6740, 0.9036)  1 Pt 2.85
Pr (0.0901, 0.6992, 0.4231)  4 Tl 3.18-3.26
Pr (0.6091, 0.6992, 0.4231)  4 Tl 3.18-3.26
Pr (0.4957, 0.9914, 0.7364)  2 Pt 3.02, 2 Tl 3.30-3.32
Pr (0.5043, 0.0086, 0.2636)  2 Pt 3.02, 2 Tl 3.30-3.32
Pr (0.9099, 0.3008, 0.5769)  4 Tl 3.18-3.26
Pr (0.3909, 0.3008, 0.5769)  4 Tl 3.18-3.26
Pr (0.9090, 0.3260, 0.0964)  1 Pt 2.85
Pr (0.4170, 0.3260, 0.0964)  1 Pt 2.85
Pr (0.0201, 0.0401, 0.8305)  2 Pt 3.04, 1 Tl 3.21
Tl (0.3030, 0.6059, 0.6337)  7 Pr 3.18-3.32
Tl (0.3129, 0.6258, 0.1612)  7 Pr 3.26-3.33
Tl (0.0000, 0.0000, 0.5000)  6 Pr 3.21-3.22
Tl (0.6871, 0.3742, 0.8388)  7 Pr 3.26-3.33
Tl (0.6970, 0.3941, 0.3663)  7 Pr 3.18-3.32
Pt (0.6928, 0.0000, 0.0000)  6 Pr 2.85-3.04, 1 Pt 3.07
Pt (0.3072, 0.0000, 0.0000)  6 Pr 2.85-3.04, 1 Pt 3.07


# 6
The following is a PBE calculation of PrTlPt after structural relaxation, from Alexandria.

Summary:
Energy of formation from the pure elements, eV/atom: -0.627
DOS(E_F), states/eV/atom: 0.78
Total energy, eV per atom: -5.02

abc: 3.6990 4.8156 4.8156
angles: 120.00 90.00 90.00
Last column: nearest neighbours and their distance in Å.
Fractional coordinates of all 3 atoms:
Pr (0.6667, 0.6667, 0.3333)  6 Pt 3.34, 6 Tl 3.34, 2 Pr 3.70
Tl (0.1666, 0.3333, 0.6667)  3 Pt 2.78
Pt (0.1667, 0.0000, 0.0000)  3 Tl 2.78


# 7
The following is a PBE calculation of Pr6TlPt after structural relaxation, from Alexandria.

Summary:
Energy of formation from the pure elements, eV/atom: -0.158
DOS(E_F), states/eV/atom: 1.43
Total energy, eV per atom: -4.79

abc: 6.9350 7.5449 7.0337
angles: 57.57 77.41 66.01
Last column: nearest neighbours and their distance in Å.
Fractional coordinates of all 8 atoms:
Pr (0.7426, 0.4926, 0.6036)  1 Pt 2.94, 1 Tl 3.23
Pr (0.7426, 0.0962, 0.3964)  1 Pt 2.94, 1 Tl 3.23
Pr (0.2574, 0.9038, 0.6036)  1 Pt 2.94, 1 Tl 3.23
Pr (0.2574, 0.5074, 0.3964)  1 Pt 2.94, 1 Tl 3.23
Pr (0.7202, 0.7384, 0.0000)  1 Pt 2.79
Pr (0.2798, 0.2616, 0.0000)  1 Pt 2.79
Tl (0.0000, 0.0000, 0.0000)  6 Pr 3.23-3.28
Pt (0.5000, 0.5000, 0.0000)  6 Pr 2.79-2.94


# 8
The following is a PBE calculation of Pr6TlPt2 after structural relaxation, from Alexandria.

Summary:
Energy of formation from the pure elements, eV/atom: -0.602
DOS(E_F), states/eV/atom: 0.98
Total energy, eV per atom: -5.39

abc: 8.9574 8.9574 8.9574
angles: 104.36 109.82 114.39
Last column: nearest neighbours and their distance in Å.
Fractional coordinates of all 18 atoms:
Pr (0.5251, 0.7073, 0.8178)  3 Pt 3.10-3.31, 1 Tl 3.40
Pr (0.4749, 0.2927, 0.1822)  3 Pt 3.10-3.31, 1 Tl 3.40
Pr (0.1105, 0.2927, 0.8178)  3 Pt 3.10-3.31, 1 Tl 3.40
Pr (0.8895, 0.7073, 0.1822)  3 Pt 3.10-3.31, 1 Tl 3.40
Pr (0.8003, 0.7665, 0.5668)  1 Pt 2.98, 1 Tl 3.29
Pr (0.1997, 0.2335, 0.4332)  1 Pt 2.98, 1 Tl 3.29
Pr (0.1997, 0.7665, 0.9662)  1 Pt 2.98, 1 Tl 3.29
Pr (0.8003, 0.2335, 0.0338)  1 Pt 2.98, 1 Tl 3.29
Pr (0.6941, 0.3659, 0.6717)  3 Pt 2.88-3.10
Pr (0.3059, 0.6341, 0.3283)  3 Pt 2.88-3.10
Pr (0.3059, 0.9776, 0.6717)  3 Pt 2.88-3.10
Pr (0.6941, 0.0224, 0.3283)  3 Pt 2.88-3.10
Tl (0.0000, 0.5000, 0.5000)  12 Pr 3.52-3.84
Tl (0.0000, 0.0000, 0.0000)  8 Pr 3.29-3.40, 2 Pt 3.57
Pt (0.5000, 0.3700, 0.8700)  1 Pt 2.86, 6 Pr 2.88-3.10
Pt (0.5000, 0.6300, 0.1300)  1 Pt 2.86, 6 Pr 2.88-3.10
Pt (0.6532, 0.0000, 0.6532)  8 Pr 2.98-3.31, 1 Pt 3.15
Pt (0.3468, 0.0000, 0.3468)  8 Pr 2.98-3.31, 1 Pt 3.15